# 1
Computed, not measured: a relaxed structure of ZnCd2Pt at the PBE level of DFT.

Cell: 4.133 4.129 4.141 Å, 90.00 90.00 90.00°
Positions (direct):
Zn (0.000, 0.500, 0.500)
Cd (0.000, 0.000, 0.000)
Pt (0.500, 0.000, 0.500)
Cd (0.500, 0.500, 0.000)

ΔH_f (0 K) (eV per atom): -0.1884
Raw total energy (eV per atom): -2.475
SG: No. 123

# 2
Computed, not measured: a relaxed structure of ZnCdPt14 at the PBE level of DFT.

Cell: 5.590 5.590 9.332 Å, 90.00 90.00 119.91°
Positions (direct):
Pt (0.874, 0.126, 0.750)
Pt (0.873, 0.623, 0.252)
Pt (0.873, 0.623, 0.748)
Pt (0.211, 0.789, 0.000)
Pt (0.376, 0.624, 0.256)
Pt (0.874, 0.126, 0.250)
Zn (0.542, 0.458, 0.500)
Pt (0.377, 0.127, 0.252)
Pt (0.037, 0.462, 0.500)
Pt (0.211, 0.290, 0.000)
Pt (0.710, 0.290, 0.000)
Pt (0.710, 0.789, 0.000)
Pt (0.538, 0.963, 0.500)
Pt (0.377, 0.127, 0.748)
Cd (0.038, 0.962, 0.500)
Pt (0.376, 0.624, 0.744)

ΔH_f (0 K) (eV per atom): -0.1006
Raw total energy (eV per atom): -5.523
SG: No. 38

# 3
Computed, not measured: a relaxed structure of ZnCdPt2 at the PBE level of DFT.

Cell: 4.981 4.981 4.981 Å, 132.75 132.75 69.05°
Positions (direct):
Cd (0.750, 0.250, 0.500)
Pt (0.250, 0.750, 0.500)
Pt (0.000, 0.000, 0.000)
Zn (0.500, 0.500, 0.000)

ΔH_f (0 K) (eV per atom): -0.2854
Raw total energy (eV per atom): -3.853
SG: No. 119

# 4
Computed, not measured: a relaxed structure of ZnCdPt2 at the PBE level of DFT.

Cell: 5.256 5.256 4.739 Å, 70.15 70.15 32.42°
Positions (direct):
Zn (0.488, 0.488, 0.579)
Cd (0.256, 0.256, 0.177)
Pt (0.006, 0.006, 0.069)
Pt (0.750, 0.750, 0.674)

ΔH_f (0 K) (eV per atom): -0.3199
Raw total energy (eV per atom): -3.888
SG: No. 8

# 5
Computed, not measured: a relaxed structure of ZnCd2Pt at the PBE level of DFT.

Cell: 4.038 3.057 6.527 Å, 62.79 90.00 90.00°
Positions (direct):
Cd (0.000, 0.992, 0.004)
Cd (0.000, 0.508, 0.496)
Pt (0.500, 0.250, 0.250)
Zn (0.500, 0.750, 0.750)

ΔH_f (0 K) (eV per atom): -0.1507
Raw total energy (eV per atom): -2.437
SG: No. 10

# 6
Computed, not measured: a relaxed structure of ZnCd2Pt at the PBE level of DFT.

Cell: 5.105 5.105 4.984 Å, 79.93 79.93 33.78°
Positions (direct):
Cd (0.498, 0.498, 0.502)
Cd (0.002, 0.002, 0.998)
Pt (0.750, 0.750, 0.750)
Zn (0.250, 0.250, 0.250)

ΔH_f (0 K) (eV per atom): -0.1310
Raw total energy (eV per atom): -2.417
SG: No. 12

# 7
Computed, not measured: a relaxed structure of ZnCdPt3 at the PBE level of DFT.

Cell: 4.941 4.941 4.941 Å, 90.00 90.00 90.00°
Positions (direct):
Pt (0.000, 0.500, 0.000)
Pt (0.000, 0.000, 0.500)
Zn (0.500, 0.500, 0.500)
Pt (0.500, 0.000, 0.000)
Cd (0.000, 0.000, 0.000)

ΔH_f (0 K) (eV per atom): 1.2365
Energy above the lowest structure with this stoichiometry (meV per atom): 776
Raw total energy (eV per atom): -2.826
SG: No. 221

# 8
Computed, not measured: a relaxed structure of ZnCd2Pt2 at the PBE level of DFT.

Cell: 6.627 6.627 4.206 Å, 90.00 90.00 90.00°
Positions (direct):
Zn (0.500, 0.500, 0.000)
Cd (0.839, 0.339, 0.500)
Cd (0.661, 0.839, 0.500)
Pt (0.144, 0.356, 0.000)
Zn (0.000, 0.000, 0.000)
Pt (0.856, 0.644, 0.000)
Cd (0.339, 0.161, 0.500)
Cd (0.161, 0.661, 0.500)
Pt (0.356, 0.856, 0.000)
Pt (0.644, 0.144, 0.000)

ΔH_f (0 K) (eV per atom): -0.3241
Raw total energy (eV per atom): -3.361
SG: No. 127

Number 1: V 71 Å³/cell. Number 2: V 253 Å³/cell. Number 3: V 65 Å³/cell. Number 4: V 66 Å³/cell. Number 5: V 72 Å³/cell. Number 6: V 71 Å³/cell. Number 7: V 121 Å³/cell. Number 8: V 185 Å³/cell.